VASP calculation (GGA-PBE) on a relaxed SrAl2Rh crystal. Values from VASP.

Results
The formation energy from the elements is -0.01 eV per atom. The calculation puts the total energy at -4.14 eV/atom. The size of the total moment is 0.0 μB/f.u.

```
&SYSTEM
  ibrav = 0, nat = 4, ntyp = 3
/
ATOMIC_SPECIES
Rh 102.91 Rh.upf
Al 26.98 Al.upf
Sr 87.62 Sr.upf
ATOMIC_POSITIONS angstrom
Rh -0.3809 0.7344 3.0468
Al 0.0000 0.0000 0.0000
Al -2.3650 1.5563 0.7323
Sr -2.0999 -1.3520 1.9318
CELL_PARAMETERS angstrom
-0.6460 3.6428 1.8473
-4.0840 -0.5301 -0.3827
-0.1158 -2.1739 4.2463
```